The following is a DFT calculation (PBE) of a geometry-optimized Ta2CoMo structure. Values from VASP.

Properties
Excess energy over the best structure of this formula in the dataset, meV/atom: 430
SG: R3m
Magnetic moment, μB per atom: 0.04
Formation enthalpy at 0 K, eV per atom: 0.2732
Calculated volume, Å³ per cell: 64.1

Cell and atoms, written as Quantum ESPRESSO input:
```
&SYSTEM
  ibrav = 0, nat = 4, ntyp = 3
/
ATOMIC_SPECIES
Ta 180.95 Ta.upf
Co 58.93 Co.upf
Mo 95.94 Mo.upf
CELL_PARAMETERS angstrom
9.425 0.018 0.010
8.997 2.809 0.010
8.997 1.380 2.446
ATOMIC_POSITIONS crystal
Ta 0.241 0.241 0.241
Ta 0.002 0.002 0.002
Co 0.497 0.497 0.497
Mo 0.759 0.759 0.759
```